A plane-wave DFT calculation with PBE was carried out for a relaxed structure of K3CaCr2Cl9. Values from VASP.

The structure in Quantum ESPRESSO input format:
```
&SYSTEM
  ibrav = 0, nat = 15, ntyp = 4
/
ATOMIC_SPECIES
Cl 35.45 Cl.upf
K 39.10 K.upf
Cr 52.00 Cr.upf
Ca 40.08 Ca.upf
CELL_PARAMETERS angstrom
-6.2787 2.9770 -1.9074
0.0862 -5.7977 4.2781
0.3325 5.2917 7.1647
ATOMIC_POSITIONS crystal
Cl 0.0000 0.5000 0.0000
Cl 0.5000 0.5000 0.0000
Cl 0.8277 0.6554 0.6805
K 0.0000 0.0000 0.0000
K 0.6667 0.3333 0.3150
Cl 0.5000 0.0000 0.0000
Cl 0.6554 0.8277 0.3195
Cr 0.6667 0.3333 0.8433
Cl 0.1723 0.3446 0.3195
Cr 0.3333 0.6667 0.1567
Ca 0.0000 0.0000 0.5000
K 0.3333 0.6667 0.6850
Cl 0.8277 0.1723 0.6805
Cl 0.3446 0.1723 0.6805
Cl 0.1723 0.8277 0.3195
```

Calculated values
The value obtained for the formation energy (no corrections) is -1.63 eV per atom. The value obtained for the magnetic moment is 8.00 μB/f.u.